Record 1
The following is a DFT calculation (PBE) of a relaxed structure of SmCdHgPb.

Cell lengths 5.317, 5.317, 5.317 Å; angles 60.00, 60.00, 60.00 degrees
Sites, in units of the cell vectors:
Sm 0.000 0.000 0.000
Cd 0.500 0.500 0.500
Hg 0.750 0.750 0.750
Pb 0.250 0.250 0.250

Properties
DOS at the Fermi energy, states/eV/atom: 0.826
ΔH_f (0 K), meV/atom: -247
Offset from the most stable computed form, meV/atom: 131
Crystal system: cubic


Record 2
The following is a DFT calculation (PBE) of a relaxed structure of Cd2SnHg2Pb.

Cell lengths 4.491, 10.032, 6.872 Å; angles 90.00, 90.00, 90.00 degrees
Sites, in units of the cell vectors:
Cd 0.000 0.005 0.000
Cd 0.000 0.995 0.500
Cd 0.500 0.164 0.252
Cd 0.500 0.836 0.752
Sn 0.000 0.308 0.524
Sn 0.000 0.692 0.024
Hg 0.000 0.316 0.024
Hg 0.000 0.684 0.524
Hg 0.500 0.143 0.756
Hg 0.500 0.857 0.256
Pb 0.500 0.495 0.776
Pb 0.500 0.505 0.276

Properties
DOS at the Fermi energy, states/eV/atom: 0.331
ΔH_f (0 K), meV/atom: 36
Crystal system: orthorhombic